Entry 1:
ZrScCuRu: optimized geometry, GGA-PBE.

The calculated density comes out at 7.16 g/cm³. For the excess energy over the best structure of this formula in the dataset, the calculation gives 0 meV per atom. The value obtained for the formation energy is -0.42 eV per atom.

Lattice parameters (Å, degrees): 3.2587 3.2587 6.5730 90.00 90.00 90.00
Space group P4mm (No. 99)
Symmetry-distinct sites (fractional):
Zr 0.0000 0.0000 0.0000 (multiplicity 1)
Sc 0.0000 0.0000 0.4898 (multiplicity 1)
Cu 0.5000 0.5000 0.7408 (multiplicity 1)
Ru 0.5000 0.5000 0.2379 (multiplicity 1)

Entry 2:
MgGa4: optimized geometry, GGA-PBE.

The calculated density comes out at 5.34 g/cm³. For the excess energy over the best structure of this formula in the dataset, the calculation gives 0 meV per atom. The value obtained for the formation energy is -0.06 eV per atom.

Lattice parameters (Å, degrees): 4.1726 5.9366 15.2334 90.00 90.00 90.00
Space group Imma (No. 74)
Symmetry-distinct sites (fractional):
Mg 0.0000 0.2500 0.1049 (multiplicity 4)
Ga 0.0000 0.0000 0.5000 (multiplicity 4)
Ga 0.0000 0.0118 0.6935 (multiplicity 8)
Ga 0.0000 0.2500 0.9020 (multiplicity 4)

Entry 3:
UP2Au: optimized geometry, GGA-PBE.

The calculated density comes out at 11.75 g/cm³. For the excess energy over the best structure of this formula in the dataset, the calculation gives 0 meV per atom. The value obtained for the formation energy is -0.50 eV per atom.

Lattice parameters (Å, degrees): 4.4317 4.4317 3.5764 90.00 90.00 90.00
Space group P4/mmm (No. 123)
Symmetry-distinct sites (fractional):
U 0.0000 0.0000 0.0000 (multiplicity 1)
P 0.0000 0.5000 0.5000 (multiplicity 2)
Au 0.5000 0.5000 0.0000 (multiplicity 1)

Entry 4:
CoHg2SCl: optimized geometry, GGA-PBE.

The calculated density comes out at 7.16 g/cm³. For the electronic total energy, the calculation gives -2.5501 eV/atom.

Lattice parameters (Å, degrees): 5.4123 5.4123 4.1775 90.00 90.00 90.00
Space group P4/mmm (No. 123)
Symmetry-distinct sites (fractional):
Co 0.0000 0.0000 0.0000 (multiplicity 1)
Hg 0.0000 0.5000 0.5000 (multiplicity 2)
S 0.0000 0.0000 0.5000 (multiplicity 1)
Cl 0.5000 0.5000 0.0000 (multiplicity 1)

Entry 5:
NiBi: optimized geometry, GGA-PBE.

The calculated density comes out at 10.55 g/cm³. The value obtained for the formation energy is 0.06 eV per atom.

Lattice parameters (Å, degrees): 8.4612 8.4612 4.0756 90.00 90.00 120.00
Space group P6_3/mmc (No. 194)
Symmetry-distinct sites (fractional):
Ni 0.1254 0.5627 0.2500 (multiplicity 6)
Bi 0.1943 0.3886 0.7500 (multiplicity 6)

Entry 6:
Pm2Cd2Pd5: optimized geometry, GGA-PBE.

The calculated density comes out at 9.33 g/cm³. The value obtained for the formation energy is -0.53 eV per atom.

Lattice parameters (Å, degrees): 16.9773 7.3355 5.9822 90.00 90.00 90.00
Space group Ima2 (No. 46)
Symmetry-distinct sites (fractional):
Pm 0.0000 0.0000 0.0000 (multiplicity 4)
Pm 0.2500 0.0521 0.0026 (multiplicity 4)
Cd 0.0778 0.5452 0.9999 (multiplicity 8)
Pd 0.1214 0.2492 0.7514 (multiplicity 8)
Pd 0.1698 0.7488 0.2517 (multiplicity 8)
Pd 0.2500 0.0387 0.5017 (multiplicity 4)

Entry 7:
SrNdBrN: optimized geometry, GGA-PBE.

The calculated density comes out at 5.58 g/cm³. For the electronic total energy, the calculation gives -5.4030 eV/atom.

Lattice parameters (Å, degrees): 3.8709 3.8709 22.4293 90.00 90.00 120.00
Space group R3m (No. 160, hexagonal axes)
Symmetry-distinct sites (fractional):
Sr 0.0000 0.0000 0.0000 (multiplicity 3)
Nd 0.0000 0.0000 0.2114 (multiplicity 3)
Br 0.0000 0.0000 0.7730 (multiplicity 3)
N 0.0000 0.0000 0.5870 (multiplicity 3)

Copy entry 2 word for word.
MgGa4: optimized geometry, GGA-PBE.

The calculated density comes out at 5.34 g/cm³. For the excess energy over the best structure of this formula in the dataset, the calculation gives 0 meV per atom. The value obtained for the formation energy is -0.06 eV per atom.

Lattice parameters (Å, degrees): 4.1726 5.9366 15.2334 90.00 90.00 90.00
Space group Imma (No. 74)
Symmetry-distinct sites (fractional):
Mg 0.0000 0.2500 0.1049 (multiplicity 4)
Ga 0.0000 0.0000 0.5000 (multiplicity 4)
Ga 0.0000 0.0118 0.6935 (multiplicity 8)
Ga 0.0000 0.2500 0.9020 (multiplicity 4)

Among the records above, which one has the lowest calculated density? MgGa4